# 1
First-principles (PBE-GGA) data for Ca3CdIn after structural relaxation, as listed in the Alexandria database.

Output
The offset from the most stable computed form comes out at 392 meV per atom. Its density of states at the Fermi level is 6.65 states/eV per cell. The value obtained for the total energy is -1.891 eV per atom. The density is 2.694 g/cm3. The calculation puts the formation energy at 40.2 meV/atom.

a b c (Å): 5.9830 5.9830 5.9830
angles (deg): 90.00 90.00 90.00
Closest atoms and distances in Å follow each position.
Positions (direct):
Ca 0.0000 0.0000 0.5000  2 In 2.99
Ca 0.0000 0.5000 0.0000  2 In 2.99
Ca 0.5000 0.0000 0.0000  2 In 2.99
In 0.0000 0.0000 0.0000  6 Ca 2.99
Cd 0.5000 0.5000 0.5000  12 Ca 4.23

# 2
First-principles (PBE-GGA) data for Ca2CdIn2 after structural relaxation, as listed in the Alexandria database.

Output
The offset from the most stable computed form comes out at 203 meV per atom. Its density of states at the Fermi level is 8.31 states/eV per cell. The value obtained for the total energy is -2.268 eV per atom. The density is 4.496 g/cm3. The calculation puts the formation energy at -189.0 meV/atom.

a b c (Å): 8.9232 8.9232 3.9164
angles (deg): 90.00 90.00 90.00
Closest atoms and distances in Å follow each position.
Positions (direct):
Ca 0.8258 0.6742 0.0000  6 In 3.23-3.32, 2 Cd 3.30
Ca 0.3258 0.8258 0.0000  6 In 3.23-3.32, 2 Cd 3.30
Ca 0.1742 0.3258 0.0000  6 In 3.23-3.32, 2 Cd 3.30
Ca 0.6742 0.1742 0.0000  6 In 3.23-3.32, 2 Cd 3.30
In 0.3778 0.1222 0.5000  1 In 3.08, 6 Ca 3.23-3.32
In 0.1222 0.6222 0.5000  1 In 3.08, 6 Ca 3.23-3.32
In 0.6222 0.8778 0.5000  1 In 3.08, 6 Ca 3.23-3.32
In 0.8778 0.3778 0.5000  1 In 3.08, 6 Ca 3.23-3.32
Cd 0.0000 0.0000 0.0000  4 Ca 3.30
Cd 0.5000 0.5000 0.0000  4 Ca 3.30

# 3
First-principles (PBE-GGA) data for CaCdIn3 after structural relaxation, as listed in the Alexandria database.

Output
Its density of states at the Fermi level is 5.44 states/eV per cell. The value obtained for the total energy is -1.646 eV per atom. The density is 3.838 g/cm3. The calculation puts the formation energy at 580.1 meV/atom.

a b c (Å): 5.9909 5.9909 5.9909
angles (deg): 90.00 90.00 90.00
Closest atoms and distances in Å follow each position.
Positions (direct):
In 0.0000 0.0000 0.5000  2 Ca 3.00
In 0.0000 0.5000 0.0000  2 Ca 3.00
In 0.5000 0.0000 0.0000  2 Ca 3.00
Cd 0.5000 0.5000 0.5000  12 In 4.24
Ca 0.0000 0.0000 0.0000  6 In 3.00

# 4
First-principles (PBE-GGA) data for CaCd2In after structural relaxation, as listed in the Alexandria database.

Output
Its density of states at the Fermi level is 1.88 states/eV per cell. The value obtained for the total energy is -1.739 eV per atom. The density is 5.679 g/cm3. The calculation puts the formation energy at -96.2 meV/atom.

a b c (Å): 9.7576 9.7576 9.7576
angles (deg): 21.67 21.67 21.67
Closest atoms and distances in Å follow each position.
Positions (direct):
Cd 0.9944 0.9944 0.9944  3 Cd 3.04, 3 Ca 3.27
Cd 0.2514 0.2514 0.2514  3 Cd 3.04, 3 In 3.09
Ca 0.7481 0.7481 0.7481  3 Cd 3.27, 3 In 3.36
In 0.5061 0.5061 0.5061  3 Cd 3.09, 3 Ca 3.36

# 5
First-principles (PBE-GGA) data for Ca2CdIn after structural relaxation, as listed in the Alexandria database.

Output
The offset from the most stable computed form comes out at 3 meV per atom. Its density of states at the Fermi level is 2.10 states/eV per cell. The value obtained for the total energy is -2.340 eV per atom. The density is 4.478 g/cm3. The calculation puts the formation energy at -425.9 meV/atom.

a b c (Å): 3.8697 3.8669 7.6166
angles (deg): 90.00 90.00 90.00
Closest atoms and distances in Å follow each position.
Positions (direct):
In 0.5000 0.5000 0.7500  8 Ca 3.34
Cd 0.5000 0.5000 0.2500  8 Ca 3.33
Ca 0.0000 0.0000 0.0015  4 Cd 3.33, 4 In 3.34
Ca 0.0000 0.0000 0.4985  4 Cd 3.33, 4 In 3.34

# 6
First-principles (PBE-GGA) data for Ca3CdIn after structural relaxation, as listed in the Alexandria database.

Output
The offset from the most stable computed form comes out at 122 meV per atom. Its density of states at the Fermi level is 7.43 states/eV per cell. The value obtained for the total energy is -2.162 eV per atom. The density is 3.618 g/cm3. The calculation puts the formation energy at -230.3 meV/atom.

a b c (Å): 5.1018 7.4794 8.3997
angles (deg): 95.60 90.00 90.00
Closest atoms and distances in Å follow each position.
Positions (direct):
Ca 0.5432 0.4504 0.4885  1 In 3.13, 2 Cd 3.30
Ca 0.0430 0.8378 0.8969  3 In 3.19-3.45, 1 Cd 3.44
Ca 0.5432 0.9878 0.6386  4 Cd 3.36-3.57, 6 Ca 3.60-3.74, 1 In 3.69
Ca 0.5431 0.2369 0.0428  3 In 3.15-3.31
Ca 0.5431 0.7814 0.2142  3 In 3.24-3.30, 2 Cd 3.49, 1 Ca 3.54
Ca 0.0431 0.1254 0.3481  2 Cd 3.29-3.54, 1 In 3.41, 2 Ca 3.64
In 0.0431 0.5030 0.1516  2 Cd 3.17-3.52, 6 Ca 3.30-3.45
In 0.5429 0.5808 0.8542  5 Ca 3.13-3.24, 2 Cd 3.32
Cd 0.0432 0.7311 0.4898  1 In 3.17, 8 Ca 3.29-3.49
Cd 0.0431 0.3086 0.7523  3 In 3.32-3.52, 7 Ca 3.54-3.61

# 7
First-principles (PBE-GGA) data for CaCd3In after structural relaxation, as listed in the Alexandria database.

Output
The offset from the most stable computed form comes out at 0 meV per atom. Its density of states at the Fermi level is 6.37 states/eV per cell. The value obtained for the total energy is -1.700 eV per atom. The density is 6.378 g/cm3. The calculation puts the formation energy at -202.5 meV/atom.

a b c (Å): 6.2996 8.9894 9.6015
angles (deg): 109.50 90.00 90.00
Closest atoms and distances in Å follow each position.
Positions (direct):
In 0.2896 0.9951 0.5663  1 In 2.95, 4 Cd 2.97-3.09
In 0.7104 0.0049 0.4337  1 In 2.95, 4 Cd 2.97-3.09
In 0.2104 0.9951 0.0663  1 In 2.95, 4 Cd 2.97-3.09
In 0.7896 0.0049 0.9337  1 In 2.95, 4 Cd 2.97-3.09
Cd 0.4161 0.1812 0.8824  3 In 2.97-3.09, 4 Cd 2.97-3.26
Cd 0.2081 0.5149 0.4394  5 Cd 2.91-3.10
Cd 0.5839 0.6657 0.3717  5 Cd 2.91-3.18, 1 In 3.01
Cd 0.2919 0.5149 0.9394  5 Cd 2.91-3.10
Cd 0.9161 0.8188 0.6176  3 In 2.97-3.09, 4 Cd 2.97-3.26
Cd 0.0839 0.1812 0.3824  3 In 2.97-3.09, 4 Cd 2.97-3.26
Cd 0.5839 0.8188 0.1176  3 In 2.97-3.09, 4 Cd 2.97-3.26
Cd 0.7919 0.4851 0.5606  5 Cd 2.91-3.10
Cd 0.4161 0.3343 0.6283  5 Cd 2.91-3.18, 1 In 3.01
Cd 0.7081 0.4851 0.0606  5 Cd 2.91-3.10
Cd 0.9161 0.6657 0.8717  5 Cd 2.91-3.18, 1 In 3.01
Cd 0.0839 0.3343 0.1283  5 Cd 2.91-3.18, 1 In 3.01
Ca 0.9211 0.2508 0.7515  11 Cd 3.30-3.66, 3 In 3.33-3.38
Ca 0.0789 0.7492 0.2485  11 Cd 3.30-3.66, 3 In 3.33-3.38
Ca 0.5789 0.2508 0.2515  11 Cd 3.30-3.66, 3 In 3.33-3.38
Ca 0.4211 0.7492 0.7485  11 Cd 3.30-3.66, 3 In 3.33-3.38

# 8
First-principles (PBE-GGA) data for Ca2CdIn5 after structural relaxation, as listed in the Alexandria database.

Output
Its density of states at the Fermi level is 2.67 states/eV per cell. The value obtained for the total energy is -2.638 eV per atom. The density is 6.119 g/cm3. The calculation puts the formation energy at -311.6 meV/atom.

a b c (Å): 6.6359 6.6359 6.6359
angles (deg): 90.81 119.53 119.53
Closest atoms and distances in Å follow each position.
Positions (direct):
Ca 0.5000 0.7777 0.2777  10 In 3.32-3.34, 2 Cd 3.34
Ca 0.5000 0.2777 0.7777  10 In 3.32-3.34, 2 Cd 3.34
In 0.0000 0.2779 0.7776  2 Cd 3.32, 6 In 3.32-3.34, 4 Ca 3.32
In 0.4997 0.7776 0.7776  2 Cd 3.32, 6 In 3.32-3.34, 4 Ca 3.32
In 0.0000 0.2775 0.2775  8 In 3.32, 4 Ca 3.34
In 0.5003 0.2779 0.2779  2 Cd 3.32, 6 In 3.32-3.34, 4 Ca 3.32
In 0.0000 0.7776 0.2779  2 Cd 3.32, 6 In 3.32-3.34, 4 Ca 3.32
Cd 0.0000 0.7782 0.7782  8 In 3.32, 4 Ca 3.34

# 9
First-principles (PBE-GGA) data for CaCdIn after structural relaxation, as listed in the Alexandria database.

Output
Its density of states at the Fermi level is 1.23 states/eV per cell. The value obtained for the total energy is -2.277 eV per atom. The density is 5.562 g/cm3. The calculation puts the formation energy at -392.2 meV/atom.

a b c (Å): 5.0239 5.0239 3.6508
angles (deg): 90.00 90.00 120.00
Closest atoms and distances in Å follow each position.
Positions (direct):
In 0.3333 0.6667 0.5008  3 Cd 2.90
Cd 0.6667 0.3333 0.4993  3 In 2.90
Ca 0.0000 0.0000 0.9999  6 In 3.43, 6 Cd 3.43, 2 Ca 3.65

# 10
First-principles (PBE-GGA) data for Ca2CdIn after structural relaxation, as listed in the Alexandria database.

Output
The offset from the most stable computed form comes out at 204 meV per atom. Its density of states at the Fermi level is 3.14 states/eV per cell. The value obtained for the total energy is -2.139 eV per atom. The density is 4.064 g/cm3. The calculation puts the formation energy at -225.2 meV/atom.

a b c (Å): 10.1425 10.1425 10.1425
angles (deg): 21.75 21.75 21.75
Closest atoms and distances in Å follow each position.
Positions (direct):
Cd 0.2500 0.2500 0.2500  6 Ca 3.30
Ca 0.5008 0.5008 0.5008  3 Cd 3.30, 3 In 3.34
Ca 0.9992 0.9992 0.9992  3 Cd 3.30, 3 In 3.34
In 0.7500 0.7500 0.7500  6 Ca 3.34

# 11
First-principles (PBE-GGA) data for CaCd2In after structural relaxation, as listed in the Alexandria database.

Output
Its density of states at the Fermi level is 4.76 states/eV per cell. The value obtained for the total energy is -1.717 eV per atom. The density is 5.531 g/cm3. The calculation puts the formation energy at -74.4 meV/atom.

a b c (Å): 4.5846 4.5846 11.3225
angles (deg): 78.32 78.32 90.00
Closest atoms and distances in Å follow each position.
Positions (direct):
Cd 0.3750 0.3528 0.7500  4 Cd 3.10-3.39, 2 In 3.12, 2 Ca 3.20
Cd 0.6472 0.1250 0.2500  4 Cd 3.10-3.39, 2 In 3.12, 2 Ca 3.20
Cd 0.8750 0.8972 0.7500  4 Cd 3.10-3.39, 2 In 3.12, 2 Ca 3.20
Cd 0.1028 0.6250 0.2500  4 Cd 3.10-3.39, 2 In 3.12, 2 Ca 3.20
In 0.7500 0.2500 0.5000  4 Cd 3.12, 4 Ca 3.24
In 0.0000 0.0000 0.0000  4 Cd 3.12, 4 Ca 3.24
Ca 0.2500 0.7500 0.5000  4 Cd 3.20, 4 In 3.24
Ca 0.5000 0.5000 0.0000  4 Cd 3.20, 4 In 3.24

# 12
First-principles (PBE-GGA) data for Ca3Cd6In5 after structural relaxation, as listed in the Alexandria database.

Output
Its density of states at the Fermi level is 10.30 states/eV per cell. The value obtained for the total energy is -2.062 eV per atom. The density is 6.288 g/cm3. The calculation puts the formation energy at -262.8 meV/atom.

a b c (Å): 4.8542 10.7345 13.8750
angles (deg): 90.00 90.00 90.00
Closest atoms and distances in Å follow each position.
Positions (direct):
Ca 0.5000 0.7540 0.5000  6 Cd 3.48-3.58, 6 In 3.52-3.70
Ca 0.0000 0.2460 0.0000  6 Cd 3.48-3.58, 6 In 3.52-3.70
Ca 0.5000 0.7527 0.2073  7 In 3.39-3.76, 7 Cd 3.43-3.63
Ca 0.0000 0.2473 0.2927  7 In 3.39-3.76, 7 Cd 3.43-3.63
Ca 0.5000 0.7527 0.7927  7 In 3.39-3.76, 7 Cd 3.43-3.63
Ca 0.0000 0.2473 0.7073  7 In 3.39-3.76, 7 Cd 3.43-3.63
In 0.5000 0.2474 0.5000  6 Cd 3.06-3.07, 2 In 3.14
In 0.0000 0.5322 0.8517  5 Cd 2.92-3.22, 1 In 3.14
In 0.5000 0.1179 0.1544  5 Cd 2.83-2.95
In 0.5000 0.1179 0.8456  5 Cd 2.83-2.95
In 0.5000 0.4678 0.3517  5 Cd 2.92-3.22, 1 In 3.14
In 0.0000 0.8821 0.6544  5 Cd 2.83-2.95
In 0.0000 0.7526 0.0000  6 Cd 3.06-3.07, 2 In 3.14
In 0.5000 0.4678 0.6483  5 Cd 2.92-3.22, 1 In 3.14
In 0.0000 0.5322 0.1483  5 Cd 2.92-3.22, 1 In 3.14
In 0.0000 0.8821 0.3456  5 Cd 2.83-2.95
Cd 0.5000 0.3809 0.1460  4 In 2.83-3.00, 1 Cd 2.94
Cd 0.0000 0.9693 0.8564  4 In 2.91-3.06, 2 Cd 3.17
Cd 0.0000 0.6191 0.3540  4 In 2.83-3.00, 1 Cd 2.94
Cd 0.0000 0.0715 0.5000  4 In 2.95-3.07, 4 Cd 3.17
Cd 0.5000 0.0307 0.6436  4 In 2.91-3.06, 2 Cd 3.17
Cd 0.5000 0.0307 0.3564  4 In 2.91-3.06, 2 Cd 3.17
Cd 0.0000 0.4210 0.5000  2 Cd 2.94, 6 In 3.06-3.22
Cd 0.5000 0.5790 0.0000  2 Cd 2.94, 6 In 3.06-3.22
Cd 0.5000 0.3809 0.8540  4 In 2.83-3.00, 1 Cd 2.94
Cd 0.5000 0.9285 0.0000  4 In 2.95-3.07, 4 Cd 3.17
Cd 0.0000 0.6191 0.6460  4 In 2.83-3.00, 1 Cd 2.94
Cd 0.0000 0.9693 0.1436  4 In 2.91-3.06, 2 Cd 3.17